Record 1
Material: S2OF
Method: DFT, SCAN
State: PBEsol geometry

Properties
N(E_F): 3.2 states/eV/f.u.
Formation energy without anion corrections: 1.05 eV per atom
Total DFT energy (no corrections): -6.211 eV/atom
Density: 3.7 g/cm3

Cell lengths 3.977, 3.977, 3.977 Å; angles 60.00, 60.00, 60.00 degrees
Sites, in units of the cell vectors:
S1 0.250 0.250 0.250
S2 0.750 0.750 0.750
F1 0.500 0.500 0.500
O1 0.000 0.000 0.000



Record 2
Material: La6MnSi2S14
Method: DFT, SCAN
State: PBEsol geometry

Properties
Formation energy without anion corrections: -2.01 eV per atom
Total DFT energy (no corrections): -20.776 eV/atom
Density: 4.5 g/cm3

Cell lengths 5.689, 10.226, 10.226 Å; angles 120.00, 90.00, 90.00 degrees
Site moments in Bohr magnetons follow the coordinates.
Sites, in units of the cell vectors:
S1 0.030 0.333 0.667  0.00
S2 0.270 0.916 0.757  0.03
S3 0.270 0.842 0.084  0.03
S4 0.537 0.667 0.333  0.00
S5 0.748 0.082 0.242  0.03
S6 0.270 0.243 0.158  0.03
S7 0.520 0.477 0.888  0.00
S8 0.748 0.758 0.840  0.03
S9 0.027 0.887 0.410  0.00
S10 0.520 0.411 0.523  0.00
S11 0.027 0.523 0.113  0.00
S12 0.748 0.160 0.918  0.03
S13 0.520 0.112 0.589  0.00
S14 0.027 0.590 0.477  0.00
La1 0.244 0.643 0.768  0.01
La2 0.244 0.232 0.875  0.01
La3 0.751 0.877 0.643  0.01
La4 0.751 0.357 0.234  0.01
La5 0.244 0.125 0.357  0.01
La6 0.751 0.766 0.123  0.01
Si1 0.168 0.667 0.333  0.00
Si2 0.660 0.333 0.667  0.00
Mn1 0.507 0.000 0.000  4.34



Record 3
Material: Mn5O3F5
Method: DFT, SCAN
State: PBEsol geometry

Properties
N(E_F): 3.4 states/eV/f.u.
Formation energy without anion corrections: -2.44 eV per atom
Total DFT energy (no corrections): -12.256 eV/atom
Density: 4.0 g/cm3

Cell lengths 6.222, 6.222, 10.869 Å; angles 73.11, 73.11, 60.61 degrees
Site moments in Bohr magnetons follow the coordinates.
Sites, in units of the cell vectors:
Mn1 0.177 0.676 0.943  4.44
Mn2 0.928 0.923 0.191  4.43
Mn3 0.443 0.944 0.685  4.54
Mn4 0.923 0.928 0.691  4.43
Mn5 0.676 0.177 0.443  4.44
Mn6 0.032 0.533 0.489  4.44
Mn7 0.533 0.032 0.989  4.44
Mn8 0.424 0.429 0.191  4.44
Mn9 0.944 0.443 0.185  4.54
Mn10 0.429 0.424 0.691  4.44
O1 0.843 0.804 0.065  0.09
O2 0.573 0.074 0.796  0.09
O3 0.305 0.342 0.065  0.09
O4 0.342 0.305 0.565  0.09
O5 0.074 0.573 0.296  0.09
O6 0.804 0.843 0.565  0.09
F1 0.083 0.010 0.805  0.07
F2 0.317 0.817 0.061  0.11
F3 0.584 0.510 0.305  0.07
F4 0.010 0.083 0.305  0.07
F5 0.296 0.797 0.592  0.07
F6 0.797 0.296 0.092  0.07
F7 0.817 0.317 0.561  0.11
F8 0.572 0.072 0.309  0.12
F9 0.072 0.572 0.809  0.12
F10 0.510 0.584 0.805  0.07



Record 4
Material: CaTeAs2
Method: DFT, SCAN
State: PBEsol geometry

Properties
N(E_F): 1.8 states/eV/f.u.
Formation energy without anion corrections: -0.52 eV per atom
Total DFT energy (no corrections): -22.339 eV/atom
Density: 5.7 g/cm3

Cell lengths 3.783, 5.072, 5.752 Å; angles 116.16, 109.20, 90.00 degrees
Sites, in units of the cell vectors:
Te1 0.279 0.779 0.557
As1 0.021 0.021 0.041
As2 0.708 0.208 0.416
Ca1 0.493 0.493 0.985



Record 5
Material: SrY2HgP
Method: DFT, SCAN
State: PBEsol geometry

Properties
N(E_F): 5.0 states/eV/f.u.
Energy relative to the elements: 1333 meV/atom
Total DFT energy (no corrections): -29.972 eV/atom
Density: 4.8 g/cm3

Cell lengths 5.257, 5.697, 5.697 Å; angles 90.00, 90.00, 90.00 degrees
Sites, in units of the cell vectors:
Sr1 0.000 0.000 0.000
Hg1 0.500 0.000 0.000
Y1 0.000 0.000 0.500
Y2 0.000 0.500 0.000
P1 0.500 0.500 0.500



Record 6
Material: ScMo3H
Method: DFT, SCAN
State: PBEsol geometry

Properties
N(E_F): 4.7 states/eV/f.u.
Total DFT energy (no corrections): -21.545 eV/atom
Density: 6.0 g/cm3

Cell lengths 4.525, 4.525, 4.525 Å; angles 90.00, 90.00, 90.00 degrees
Sites, in units of the cell vectors:
Mo1 0.500 0.000 0.000
Mo2 0.000 0.500 0.000
Mo3 0.000 0.000 0.500
Sc1 0.000 0.000 0.000
H1 0.500 0.500 0.500



Record 7
Material: CuTc2Sb
Method: DFT, SCAN
State: PBEsol geometry

Properties
N(E_F): 3.6 states/eV/f.u.
Formation energy without anion corrections: 0.34 eV per atom
Total DFT energy (no corrections): -30.308 eV/atom
Density: 10.7 g/cm3

Cell lengths 3.274, 4.253, 5.020 Å; angles 115.06, 109.03, 90.00 degrees
Sites, in units of the cell vectors:
Tc1 0.997 0.997 0.994
Tc2 0.756 0.256 0.512
Sb1 0.243 0.743 0.485
Cu1 0.505 0.505 0.009



Record 8
Material: LiSi2Tc
Method: DFT, SCAN
State: PBEsol geometry

Properties
N(E_F): 2.4 states/eV/f.u.
Formation energy without anion corrections: 0.44 eV per atom
Total DFT energy (no corrections): -13.932 eV/atom
Density: 3.3 g/cm3

Cell lengths 4.577, 4.577, 8.404 Å; angles 105.80, 105.80, 90.00 degrees
Sites, in units of the cell vectors:
Li1 0.500 0.500 0.000
Li2 0.750 0.250 0.500
Tc1 0.000 0.000 0.000
Tc2 0.250 0.750 0.500
Si1 0.125 0.984 0.750
Si2 0.625 0.766 0.750
Si3 0.016 0.375 0.250
Si4 0.234 0.875 0.250



Record 9
Material: Rh2SeCl
Method: DFT, SCAN
State: PBEsol geometry

Properties
N(E_F): 4.3 states/eV/f.u.
Formation energy without anion corrections: 0.16 eV per atom
Total DFT energy (no corrections): -23.741 eV/atom
Density: 8.7 g/cm3

Cell lengths 3.080, 3.080, 6.475 Å; angles 90.00, 90.00, 90.00 degrees
Sites, in units of the cell vectors:
Se1 0.500 0.500 0.000
Rh1 0.000 0.000 0.214
Rh2 0.000 0.000 0.786
Cl1 0.500 0.500 0.500



Record 10
Material: BaReSb2
Method: DFT, SCAN
State: PBEsol geometry

Properties
N(E_F): 4.4 states/eV/f.u.
Formation energy without anion corrections: 0.11 eV per atom
Total DFT energy (no corrections): -46.181 eV/atom
Density: 7.1 g/cm3

Cell lengths 4.348, 4.875, 6.620 Å; angles 90.00, 109.17, 90.00 degrees
Sites, in units of the cell vectors:
Re1 0.197 0.500 0.394
Ba1 0.966 0.000 0.932
Sb1 0.250 0.000 0.501
Sb2 0.585 0.500 0.170



Record 11
Material: Cr2InSnO
Method: DFT, SCAN
State: PBEsol geometry

Properties
N(E_F): 1.9 states/eV/f.u.
Formation energy without anion corrections: -0.42 eV per atom
Total DFT energy (no corrections): -22.879 eV/atom
Density: 6.9 g/cm3

Cell lengths 4.173, 4.173, 4.916 Å; angles 90.00, 90.00, 90.00 degrees
Site moments in Bohr magnetons follow the coordinates.
Sites, in units of the cell vectors:
In1 0.000 0.000 0.500  -0.02
Cr1 0.000 0.500 0.000  3.85
Cr2 0.500 0.000 0.000  3.85
Sn1 0.500 0.500 0.500  -0.08
O1 0.000 0.000 0.000  0.01



Record 12
Material: AlFe2B2
Method: DFT, SCAN
State: PBEsol geometry

Properties
N(E_F): 1.0 states/eV/f.u.
Energy relative to the elements: -393 meV/atom
Total DFT energy (no corrections): -12.167 eV/atom
Density: 6.0 g/cm3

Cell lengths 2.774, 2.887, 5.693 Å; angles 75.31, 90.00, 90.00 degrees
Site moments in Bohr magnetons follow the coordinates.
Sites, in units of the cell vectors:
B1 0.000 0.794 0.412  -0.04
B2 0.000 0.206 0.588  -0.04
Al1 0.000 0.000 0.000  -0.02
Fe1 0.500 0.354 0.292  1.54
Fe2 0.500 0.646 0.708  1.54



Record 13
Material: Y2MgSi2
Method: DFT, SCAN
State: PBEsol geometry

Properties
N(E_F): 1.5 states/eV/f.u.
Formation energy without anion corrections: -0.78 eV per atom
Total DFT energy (no corrections): -16.923 eV/atom
Density: 4.1 g/cm3

Cell lengths 4.155, 7.126, 7.126 Å; angles 90.00, 90.00, 90.00 degrees
Sites, in units of the cell vectors:
Si1 0.000 0.882 0.382
Si2 0.000 0.118 0.618
Si3 0.000 0.382 0.118
Si4 0.000 0.618 0.882
Mg1 0.000 0.500 0.500
Mg2 0.000 0.000 0.000
Y1 0.500 0.678 0.178
Y2 0.500 0.822 0.678
Y3 0.500 0.322 0.822
Y4 0.500 0.178 0.322



Record 14
Material: CoTcPt2
Method: DFT, SCAN
State: PBEsol geometry

Properties
N(E_F): 2.5 states/eV/f.u.
Energy relative to the elements: -97 meV/atom
Total DFT energy (no corrections): -48.284 eV/atom
Density: 16.8 g/cm3

Cell lengths 2.683, 2.683, 7.496 Å; angles 90.00, 90.00, 90.00 degrees
Site moments in Bohr magnetons follow the coordinates.
Sites, in units of the cell vectors:
Tc1 0.000 0.000 0.521  -0.07
Pt1 0.000 0.000 0.980  0.12
Pt2 0.500 0.500 0.261  -0.02
Co1 0.500 0.500 0.739  1.51



Record 15
Material: NbGaB3
Method: DFT, SCAN
State: PBEsol geometry

Properties
N(E_F): 3.6 states/eV/f.u.
Energy relative to the elements: 1753 meV/atom
Total DFT energy (no corrections): -12.600 eV/atom
Density: 5.4 g/cm3

Cell lengths 3.921, 3.921, 3.921 Å; angles 90.00, 90.00, 90.00 degrees
Sites, in units of the cell vectors:
B1 0.000 0.500 0.000
B2 0.500 0.000 0.000
B3 0.000 0.000 0.500
Ga1 0.000 0.000 0.000
Nb1 0.500 0.500 0.500



Record 16
Material: AlFe6W
Method: DFT, SCAN
State: PBEsol geometry

Properties
N(E_F): 4.8 states/eV/f.u.
Energy relative to the elements: 10 meV/atom
Total DFT energy (no corrections): -23.267 eV/atom
Density: 9.9 g/cm3

Cell lengths 6.194, 6.194, 10.122 Å; angles 90.00, 90.00, 109.61 degrees
Site moments in Bohr magnetons follow the coordinates.
Sites, in units of the cell vectors:
Fe1 0.625 0.875 0.376  1.82
Fe2 0.871 0.620 0.124  2.32
Fe3 0.129 0.380 0.876  2.32
Fe4 0.250 0.750 0.751  2.11
Fe5 0.000 0.000 0.000  2.38
Fe6 0.620 0.871 0.124  2.32
Fe7 0.871 0.620 0.876  2.32
Fe8 0.625 0.875 0.624  1.82
Fe9 0.000 0.000 0.500  1.32
Fe10 0.375 0.125 0.624  1.82
Fe11 0.750 0.250 0.249  2.11
Fe12 0.875 0.625 0.376  1.82
Fe13 0.129 0.380 0.124  2.32
Fe14 0.250 0.750 0.249  2.11
Fe15 0.375 0.125 0.376  1.82
Fe16 0.125 0.375 0.376  1.82
Fe17 0.500 0.500 0.500  2.00
Fe18 0.380 0.129 0.124  2.32
Fe19 0.750 0.250 0.751  2.11
Fe20 0.125 0.375 0.624  1.82
Fe21 0.620 0.871 0.876  2.32
Fe22 0.875 0.625 0.624  1.82
Fe23 0.500 0.500 0.000  2.38
Fe24 0.380 0.129 0.876  2.32
Al1 0.500 0.500 0.745  -0.09
Al2 0.500 0.500 0.255  -0.09
Al3 0.247 0.753 0.000  -0.10
Al4 0.753 0.247 0.000  -0.10
W1 0.247 0.753 0.500  -0.90
W2 0.753 0.247 0.500  -0.90
W3 0.000 0.000 0.744  -0.96
W4 0.000 0.000 0.256  -0.96



Record 17
Material: LiNiBP2H6O11
Method: DFT, SCAN
State: PBEsol geometry

Properties
N(E_F): 0.0 states/eV/f.u.
Total DFT energy (no corrections): -8.037 eV/atom
Density: 2.7 g/cm3

Cell lengths 9.286, 9.286, 15.663 Å; angles 90.00, 90.00, 120.00 degrees
Site moments in Bohr magnetons follow the coordinates.
Sites, in units of the cell vectors:
H1 0.598 0.404 0.542  0.00
H2 0.972 0.118 0.793  0.00
H3 0.194 0.598 0.708  0.00
H4 0.596 0.402 0.958  0.00
H5 0.127 0.686 0.065  0.00
H6 0.314 0.441 0.398  0.00
H7 0.882 0.028 0.707  0.00
H8 0.146 0.028 0.459  0.00
H9 0.441 0.314 0.602  0.00
H10 0.806 0.404 0.625  0.00
H11 0.598 0.194 0.292  0.00
H12 0.118 0.972 0.207  0.00
H13 0.028 0.882 0.293  0.00
H14 0.854 0.882 0.874  0.00
H15 0.146 0.118 0.374  0.00
H16 0.972 0.854 0.041  0.00
H17 0.314 0.873 0.435  0.00
H18 0.882 0.854 0.126  0.00
H19 0.686 0.559 0.898  0.00
H20 0.194 0.596 0.125  0.00
H21 0.028 0.146 0.541  0.00
H22 0.441 0.127 0.231  0.00
H23 0.118 0.146 0.626  0.00
H24 0.559 0.873 0.731  0.00
H25 0.596 0.194 0.875  0.00
H26 0.559 0.686 0.102  0.00
H27 0.404 0.598 0.458  0.00
H28 0.127 0.441 0.769  0.00
H29 0.854 0.972 0.959  0.00
H30 0.686 0.127 0.935  0.00
H31 0.402 0.806 0.792  0.00
H32 0.873 0.314 0.565  0.00
H33 0.402 0.596 0.042  0.00
H34 0.873 0.559 0.269  0.00
H35 0.404 0.806 0.375  0.00
H36 0.806 0.402 0.208  0.00
B1 0.150 0.301 0.083  0.00
B2 0.301 0.150 0.917  0.00
B3 0.850 0.150 0.250  0.00
B4 0.699 0.850 0.417  0.00
B5 0.850 0.699 0.583  0.00
B6 0.150 0.850 0.750  0.00
Ni1 0.558 0.442 0.250  1.74
Ni2 0.442 0.885 0.083  1.74
Ni3 0.115 0.558 0.417  1.74
Ni4 0.885 0.442 0.917  1.74
Ni5 0.558 0.115 0.583  1.74
Ni6 0.442 0.558 0.750  1.74
P1 0.826 0.608 0.754  0.01
P2 0.782 0.174 0.420  0.01
P3 0.782 0.608 0.413  0.01
P4 0.392 0.174 0.746  0.01
P5 0.174 0.392 0.254  0.01
P6 0.826 0.218 0.080  0.01
P7 0.608 0.782 0.587  0.01
P8 0.174 0.782 0.580  0.01
P9 0.608 0.826 0.246  0.01
P10 0.392 0.218 0.087  0.01
P11 0.218 0.392 0.913  0.01
P12 0.218 0.826 0.920  0.01
O1 0.385 0.526 0.877  0.04
O2 0.762 0.180 0.321  0.00
O3 0.418 0.180 0.846  0.00
O4 0.798 0.505 0.219  0.04
O5 0.608 0.934 0.622  0.03
O6 0.674 0.608 0.789  0.03
O7 0.109 0.217 0.583  0.00
O8 0.505 0.798 0.781  0.04
O9 0.526 0.141 0.711  0.04
O10 0.976 0.189 0.062  0.00
O11 0.180 0.418 0.154  0.00
O12 0.392 0.326 0.711  0.03
O13 0.474 0.859 0.211  0.04
O14 0.526 0.385 0.123  0.04
O15 0.385 0.859 0.956  0.04
O16 0.024 0.213 0.271  0.00
O17 0.891 0.783 0.083  0.00
O18 0.787 0.811 0.604  0.00
O19 0.615 0.141 0.456  0.04
O20 0.859 0.385 0.044  0.04
O21 0.024 0.811 0.562  0.00
O22 0.213 0.189 0.104  0.00
O23 0.066 0.392 0.878  0.03
O24 0.976 0.787 0.771  0.00
O25 0.238 0.820 0.821  0.00
O26 0.294 0.495 0.448  0.04
O27 0.608 0.674 0.211  0.03
O28 0.934 0.326 0.456  0.03
O29 0.674 0.066 0.044  0.03
O30 0.820 0.238 0.179  0.00
O31 0.934 0.608 0.378  0.03
O32 0.505 0.706 0.052  0.04
O33 0.859 0.474 0.789  0.04
O34 0.495 0.294 0.552  0.04
O35 0.238 0.418 0.013  0.00
O36 0.202 0.495 0.719  0.04
O37 0.141 0.526 0.289  0.04
O38 0.294 0.798 0.385  0.04
O39 0.783 0.891 0.917  0.00
O40 0.202 0.706 0.115  0.04
O41 0.582 0.762 0.487  0.00
O42 0.326 0.934 0.544  0.03
O43 0.811 0.024 0.438  0.00
O44 0.189 0.213 0.896  0.00
O45 0.392 0.066 0.122  0.03
O46 0.811 0.787 0.396  0.00
O47 0.180 0.762 0.679  0.00
O48 0.706 0.505 0.948  0.04
O49 0.213 0.024 0.729  0.00
O50 0.787 0.976 0.229  0.00
O51 0.798 0.294 0.615  0.04
O52 0.495 0.202 0.281  0.04
O53 0.820 0.582 0.654  0.00
O54 0.066 0.674 0.956  0.03
O55 0.109 0.891 0.250  0.00
O56 0.474 0.615 0.623  0.04
O57 0.418 0.238 0.987  0.00
O58 0.706 0.202 0.885  0.04
O59 0.762 0.582 0.513  0.00
O60 0.891 0.109 0.750  0.00
O61 0.189 0.976 0.938  0.00
O62 0.141 0.615 0.544  0.04
O63 0.326 0.392 0.289  0.03
O64 0.582 0.820 0.346  0.00
O65 0.217 0.109 0.417  0.00
O66 0.615 0.474 0.377  0.04
Li1 0.458 0.229 0.417  0.00
Li2 0.542 0.771 0.917  0.00
Li3 0.771 0.542 0.083  0.00
Li4 0.771 0.229 0.750  0.00
Li5 0.229 0.771 0.250  0.00
Li6 0.229 0.458 0.583  0.00